A plane-wave DFT calculation with meta-GGA SCAN was carried out for a PBEsol-optimized structure of RbIn2Hg2.

Summary:
- E_form (eV/atom) = -0.224
- volume (Å³ per cell) = 144.8

Lattice parameters (Å, degrees): 4.7617 4.7617 7.2212 109.25 109.25 90.00
Fractional positions:
Hg 0.3876 0.3876 0.7751
Hg 0.6124 0.6124 0.2249
Rb 0.0000 0.0000 0.0000
In 0.2500 0.7500 0.5000
In 0.7500 0.2500 0.5000



A plane-wave DFT calculation with meta-GGA SCAN was carried out for a PBEsol-optimized structure of BaGa2Se2.

Summary:
- formation energy without anion corrections (eV/atom) = -0.824
- volume (Å³ per cell) = 124.4

Lattice parameters (Å, degrees): 5.2532 5.8424 5.2532 63.28 90.00 116.72
Fractional positions:
Se 0.2500 0.5000 0.2500
Se 0.7500 0.5000 0.7500
Ga 0.3529 0.7059 0.6471
Ga 0.6471 0.2941 0.3529
Ba 0.0000 0.0000 0.0000



A plane-wave DFT calculation with meta-GGA SCAN was carried out for a PBEsol-optimized structure of NiHgSb2.

Summary:
- formation energy without anion corrections (eV/atom) = 0.476
- volume (Å³ per cell) = 82.8

Lattice parameters (Å, degrees): 3.9541 4.5762 4.5762 90.00 90.00 90.00
Fractional positions:
Hg 0.5000 0.5000 0.5000
Ni 0.5000 0.0000 0.0000
Sb 0.0000 0.5000 0.0000
Sb 0.0000 0.0000 0.5000